Density functional theory data (GGA-PBE) for GdPaAgIr after structural relaxation.

Output
energy relative to the elements: -0.2919 eV per atom
E_tot: -145.83 eV/cell

Geometry as CIF:
```
data_GdPaAgIr
_chemical_formula_sum 'Gd4 Pa4 Ag4 Ir4'
_space_group_name_H-M_alt 'F -4 3 m'
_space_group_IT_number 216
_space_group_name_Hall 'F -4 2 3'
_cell_length_a 7.0874
_cell_length_b 7.0874
_cell_length_c 7.0874
_cell_angle_alpha 90.00
_cell_angle_beta 90.00
_cell_angle_gamma 90.00
loop_
_atom_site_label
_atom_site_type_symbol
_atom_site_fract_x
_atom_site_fract_y
_atom_site_fract_z
_atom_site_occupancy
Gd1 Gd 0.0000 0.0000 0.0000 1
Pa1 Pa 0.0000 0.0000 0.5000 1
Ag1 Ag 0.2500 0.2500 0.2500 1
Ir1 Ir 0.2500 0.2500 0.7500 1
```



Density functional theory data (GGA-PBE) for ReSe2Br after structural relaxation.

Output
excess energy over the best structure of this formula in the dataset: 4.55 eV per formula unit
formation energy from raw total energies: 1.130 eV/atom
E_tot: -33.14 eV/cell

Geometry as CIF:
```
data_ReSe2Br
_chemical_formula_sum 'Re2 Se4 Br2'
_space_group_name_H-M_alt 'C m m m'
_space_group_IT_number 65
_space_group_name_Hall '-C 2 2'
_cell_length_a 5.2576
_cell_length_b 8.9273
_cell_length_c 3.2375
_cell_angle_alpha 90.00
_cell_angle_beta 90.00
_cell_angle_gamma 90.00
loop_
_atom_site_label
_atom_site_type_symbol
_atom_site_fract_x
_atom_site_fract_y
_atom_site_fract_z
_atom_site_occupancy
Re1 Re 0.0000 0.0000 0.0000 1
Se1 Se 0.2500 0.2500 0.5000 1
Br1 Br 0.0000 0.5000 0.0000 1
```



Density functional theory data (GGA-PBE) for Be2ReMo after structural relaxation.

Output
energy relative to the elements: 0.1166 eV per atom
excess energy over the best structure of this formula in the dataset: 1.43 eV per formula unit
E_tot: -60.53 eV/cell

Geometry as CIF:
```
data_Be2ReMo
_chemical_formula_sum 'Be4 Re2 Mo2'
_space_group_name_H-M_alt 'C m m 2'
_space_group_IT_number 35
_cell_length_a 3.4443
_cell_length_b 4.1707
_cell_length_c 6.6496
_cell_angle_alpha 90.00
_cell_angle_beta 90.00
_cell_angle_gamma 90.00
loop_
_space_group_symop_operation_xyz
'x,y,z'
'-x,-y,z'
'-x,y,z'
'x,-y,z'
'x+1/2,y+1/2,z'
'-x+1/2,-y+1/2,z'
'-x+1/2,y+1/2,z'
'x+1/2,-y+1/2,z'
loop_
_atom_site_label
_atom_site_type_symbol
_atom_site_fract_x
_atom_site_fract_y
_atom_site_fract_z
_atom_site_occupancy
Be1 Be 0.0000 0.0000 0.0000 1
Be2 Be 0.0000 0.5000 0.1697 1
Re1 Re 0.0000 0.5000 0.7565 1
Mo1 Mo 0.0000 0.0000 0.4247 1
```



Density functional theory data (GGA-PBE) for Zr2V2Cd after structural relaxation.

Output
energy relative to the elements: 0.1211 eV per atom
E_tot: -71.29 eV/cell

Geometry as CIF:
```
data_Zr2V2Cd
_chemical_formula_sum 'Zr4 V4 Cd2'
_space_group_name_H-M_alt 'P 4/m b m'
_space_group_IT_number 127
_space_group_name_Hall '-P 4 2ab'
_cell_length_a 7.1562
_cell_length_b 7.1562
_cell_length_c 3.7244
_cell_angle_alpha 90.00
_cell_angle_beta 90.00
_cell_angle_gamma 90.00
loop_
_atom_site_label
_atom_site_type_symbol
_atom_site_fract_x
_atom_site_fract_y
_atom_site_fract_z
_atom_site_occupancy
Zr1 Zr 0.1759 0.3241 0.0000 1
V1 V 0.1158 0.6158 0.5000 1
Cd1 Cd 0.0000 0.0000 0.5000 1
```



Density functional theory data (GGA-PBE) for Ce4GaPt2 after structural relaxation.

Output
energy relative to the elements: -0.4607 eV per atom
E_tot: -42.07 eV/cell

Geometry as CIF:
```
data_Ce4GaPt2
_chemical_formula_sum 'Ce4 Ga1 Pt2'
_space_group_name_H-M_alt 'P 1 2/m 1'
_space_group_IT_number 10
_cell_length_a 7.2776
_cell_length_b 3.6537
_cell_length_c 7.9950
_cell_angle_alpha 90.00
_cell_angle_beta 110.30
_cell_angle_gamma 90.00
loop_
_space_group_symop_operation_xyz
'x,y,z'
'-x,-y,-z'
'-x,y,-z'
'x,-y,z'
loop_
_atom_site_label
_atom_site_type_symbol
_atom_site_fract_x
_atom_site_fract_y
_atom_site_fract_z
_atom_site_occupancy
Ce1 Ce 0.0807 0.0000 0.2484 1
Ce2 Ce 0.4020 0.5000 0.7520 1
Ga1 Ga 0.5000 0.0000 0.5000 1
Pt1 Pt 0.2018 0.5000 0.0055 1
```



Density functional theory data (GGA-PBE) for CoSnAu after structural relaxation.

Output
energy relative to the elements: 0.1990 eV per atom
E_tot: -27.58 eV/cell

Geometry as CIF:
```
data_CoSnAu
_chemical_formula_sum 'Co2 Sn2 Au2'
_space_group_name_H-M_alt 'C 1 m 1'
_space_group_IT_number 8
_cell_length_a 9.8614
_cell_length_b 3.3220
_cell_length_c 3.3024
_cell_angle_alpha 90.00
_cell_angle_beta 109.42
_cell_angle_gamma 90.00
loop_
_space_group_symop_operation_xyz
'x,y,z'
'x,-y,z'
'x+1/2,y+1/2,z'
'x+1/2,-y+1/2,z'
loop_
_atom_site_label
_atom_site_type_symbol
_atom_site_fract_x
_atom_site_fract_y
_atom_site_fract_z
_atom_site_occupancy
Co1 Co 0.0000 0.0000 0.0000 1
Sn1 Sn 0.3623 0.0000 0.3626 1
Au1 Au 0.1720 0.5000 0.6702 1
```



Density functional theory data (GGA-PBE) for LiBi3S6 after structural relaxation.

Output
formation energy from raw total energies: -0.293 eV/atom
E_tot: -165.00 eV/cell

Geometry as CIF:
```
data_LiBi3S6
_chemical_formula_sum 'Li4 Bi12 S24'
_space_group_name_H-M_alt 'C m c 21'
_space_group_IT_number 36
_cell_length_a 11.9244
_cell_length_b 14.1029
_cell_length_c 5.8376
_cell_angle_alpha 90.00
_cell_angle_beta 90.00
_cell_angle_gamma 90.00
loop_
_space_group_symop_operation_xyz
'x,y,z'
'-x,-y,z+1/2'
'-x,y,z'
'x,-y,z+1/2'
'x+1/2,y+1/2,z'
'-x+1/2,-y+1/2,z+1/2'
'-x+1/2,y+1/2,z'
'x+1/2,-y+1/2,z+1/2'
loop_
_atom_site_label
_atom_site_type_symbol
_atom_site_fract_x
_atom_site_fract_y
_atom_site_fract_z
_atom_site_occupancy
Li1 Li 0.0000 0.1509 0.0000 1
Bi1 Bi 0.0000 0.3807 0.3629 1
Bi2 Bi 0.1785 0.1291 0.4648 1
S1 S 0.0000 0.0065 0.2735 1
S2 S 0.0000 0.2291 0.6440 1
S3 S 0.1518 0.2577 0.1375 1
S4 S 0.1632 0.4837 0.6634 1
```



Density functional theory data (GGA-PBE) for CaPa3P4N12 after structural relaxation.

Output
formation energy from raw total energies: -0.853 eV/atom
E_tot: -507.26 eV/cell

Geometry as CIF:
```
data_CaPa3P4N12
_chemical_formula_sum 'Ca3 Pa9 P12 N36'
_space_group_name_H-M_alt 'R 3 2'
_space_group_IT_number 155
_space_group_name_Hall 'R 3 2"'
_cell_length_a 10.8886
_cell_length_b 10.8886
_cell_length_c 8.7581
_cell_angle_alpha 90.00
_cell_angle_beta 90.00
_cell_angle_gamma 120.00
loop_
_atom_site_label
_atom_site_type_symbol
_atom_site_fract_x
_atom_site_fract_y
_atom_site_fract_z
_atom_site_occupancy
Ca1 Ca 0.0000 0.0000 0.0000 1
Pa1 Pa 0.0000 0.5414 0.0000 1
P1 P 0.0000 0.0000 0.5000 1
P2 P 0.0000 0.4561 0.5000 1
N1 N 0.0000 0.6031 0.5000 1
N2 N 0.0000 0.8543 0.5000 1
N3 N 0.0193 0.2058 0.1823 1
```



Density functional theory data (GGA-PBE) for YSc3 after structural relaxation.

Output
energy relative to the elements: 0.2408 eV per atom
excess energy over the best structure of this formula in the dataset: 0.89 eV per formula unit
E_tot: -48.99 eV/cell

Geometry as CIF:
```
data_YSc3
_chemical_formula_sum 'Y2 Sc6'
_space_group_name_H-M_alt 'P m -3 n'
_space_group_IT_number 223
_space_group_name_Hall '-P 4n 2 3'
_cell_length_a 6.0208
_cell_length_b 6.0208
_cell_length_c 6.0208
_cell_angle_alpha 90.00
_cell_angle_beta 90.00
_cell_angle_gamma 90.00
loop_
_atom_site_label
_atom_site_type_symbol
_atom_site_fract_x
_atom_site_fract_y
_atom_site_fract_z
_atom_site_occupancy
Y1 Y 0.0000 0.0000 0.0000 1
Sc1 Sc 0.0000 0.2500 0.5000 1
```



Density functional theory data (GGA-PBE) for Li2SeN2 after structural relaxation.

Output
formation energy from raw total energies: -0.685 eV/atom
E_tot: -54.78 eV/cell

Geometry as CIF:
```
data_Li2SeN2
_chemical_formula_sum 'Li4 Se2 N4'
_space_group_name_H-M_alt 'C 1 2/m 1'
_space_group_IT_number 12
_cell_length_a 7.2234
_cell_length_b 4.1765
_cell_length_c 7.2981
_cell_angle_alpha 90.00
_cell_angle_beta 106.04
_cell_angle_gamma 90.00
loop_
_space_group_symop_operation_xyz
'x,y,z'
'-x,-y,-z'
'-x,y,-z'
'x,-y,z'
'x+1/2,y+1/2,z'
'-x+1/2,-y+1/2,-z'
'-x+1/2,y+1/2,-z'
'x+1/2,-y+1/2,z'
loop_
_atom_site_label
_atom_site_type_symbol
_atom_site_fract_x
_atom_site_fract_y
_atom_site_fract_z
_atom_site_occupancy
Li1 Li 0.1349 0.0000 0.3862 1
Se1 Se 0.0000 0.5000 0.5000 1
N1 N 0.0304 0.0000 0.0791 1
```



Density functional theory data (GGA-PBE) for LaPrTl after structural relaxation.

Output
energy relative to the elements: -0.2315 eV per atom
excess energy over the best structure of this formula in the dataset: 0.16 eV per formula unit
E_tot: -25.54 eV/cell

Geometry as CIF:
```
data_LaPrTl
_chemical_formula_sum 'La2 Pr2 Tl2'
_space_group_name_H-M_alt 'I 4 m m'
_space_group_IT_number 107
_space_group_name_Hall 'I 4 -2'
_cell_length_a 4.2484
_cell_length_b 4.2484
_cell_length_c 10.4416
_cell_angle_alpha 90.00
_cell_angle_beta 90.00
_cell_angle_gamma 90.00
loop_
_atom_site_label
_atom_site_type_symbol
_atom_site_fract_x
_atom_site_fract_y
_atom_site_fract_z
_atom_site_occupancy
La1 La 0.0000 0.0000 0.0000 1
Pr1 Pr 0.0000 0.0000 0.6832 1
Tl1 Tl 0.0000 0.0000 0.3398 1
```



Density functional theory data (GGA-PBE) for CaNi2Cl after structural relaxation.

Output
excess energy over the best structure of this formula in the dataset: 0.02 eV per formula unit
formation energy from raw total energies: -0.397 eV/atom
E_tot: -17.00 eV/cell

Geometry as CIF:
```
data_CaNi2Cl
_chemical_formula_sum 'Ca1 Ni2 Cl1'
_space_group_name_H-M_alt 'P 4 m m'
_space_group_IT_number 99
_cell_length_a 3.3106
_cell_length_b 3.3106
_cell_length_c 7.4620
_cell_angle_alpha 90.00
_cell_angle_beta 90.00
_cell_angle_gamma 90.00
loop_
_space_group_symop_operation_xyz
'x,y,z'
'-y,x,z'
'-x,-y,z'
'y,-x,z'
'-x,y,z'
'y,x,z'
'x,-y,z'
'-y,-x,z'
loop_
_atom_site_label
_atom_site_type_symbol
_atom_site_fract_x
_atom_site_fract_y
_atom_site_fract_z
_atom_site_occupancy
Ca1 Ca 0.0000 0.0000 0.0000 1
Ni1 Ni 0.0000 0.0000 0.6447 1
Ni2 Ni 0.5000 0.5000 0.7145 1
Cl1 Cl 0.5000 0.5000 0.1979 1
```